# LiW2F

A relaxed structure of LiW2F (PBE+U, Alexandria via LeMat-Bulk).

The structure in CIF format:
```
data_LiW2F
_chemical_formula_sum 'Li4 W8 F4'
_cell_length_a 3.7252
_cell_length_b 3.7252
_cell_length_c 21.6257
_cell_angle_alpha 90.00
_cell_angle_beta 90.00
_cell_angle_gamma 90.00
_symmetry_space_group_name_H-M 'P 1'
_symmetry_Int_Tables_number 1
_symmetry_space_group_name_Hall 'P 1'
loop_
_atom_site_label
_atom_site_type_symbol
_atom_site_fract_x
_atom_site_fract_y
_atom_site_fract_z
Li1 Li 0.0000 0.0000 0.0000
Li2 Li 0.0000 0.5000 0.2500
Li3 Li 0.5000 0.0000 0.7500
Li4 Li 0.5000 0.5000 0.5000
W1 W 0.2465 0.2500 0.1250
W2 W 0.2500 0.7465 0.3750
W3 W 0.2500 0.7535 0.8750
W4 W 0.2535 0.2500 0.6250
W5 W 0.7465 0.7500 0.6250
W6 W 0.7500 0.2465 0.8750
W7 W 0.7500 0.2535 0.3750
W8 W 0.7535 0.7500 0.1250
F1 F 0.0000 0.0000 0.5000
F2 F 0.0000 0.5000 0.7500
F3 F 0.5000 0.0000 0.2500
F4 F 0.5000 0.5000 0.0000
```

Computed properties:
* energy: -0.277 Ry per atom
* DOS(E_F): 0.651 states/eV per atom
* calculated volume: 18.76 Å³/atom